Computed, not measured: a geometry-optimized CaZnCr structure at the GGA-PBEsol level of DFT.

Unit cell a=3.3471 b=3.4481 c=10.5887 alpha=90.00 beta=90.00 gamma=90.00
With the nearest neighbours (Å) after each atom.
Space group Imm2 (No. 44)
Unique sites:
1 Ca 0.0000 0.0000 0.0000  5 Cr 3.10-3.25, 5 Zn 3.18-3.22, 4 Ca 3.35-3.45
2 Zn 0.0000 0.0000 0.6961  4 Cr 2.61
3 Cr 0.0000 0.0000 0.2931  4 Zn 2.61

ΔE_f = 380 meV per atom



Computed, not measured: a geometry-optimized TaHg2Pb structure at the GGA-PBEsol level of DFT.

Unit cell a=5.8964 b=9.1499 c=3.1066 alpha=90.00 beta=90.00 gamma=90.00
With the nearest neighbours (Å) after each atom.
Space group Cmmm (No. 65)
Unique sites:
1 Ta 0.0000 0.0000 0.0000  2 Pb 2.95, 2 Ta 3.11, 8 Hg 3.13
2 Hg 0.2500 0.2500 0.5000  4 Hg 2.95-3.11, 4 Ta 3.13, 4 Pb 3.13
3 Pb 0.0000 0.5000 0.0000  2 Ta 2.95, 2 Pb 3.11, 8 Hg 3.13

ΔE_f = 372 meV per atom



Computed, not measured: a geometry-optimized RbCaFe3 structure at the GGA-PBEsol level of DFT.

Unit cell a=4.7514 b=4.7514 c=4.7514 alpha=90.00 beta=90.00 gamma=90.00
With the nearest neighbours (Å) after each atom.
Space group Pm-3m (No. 221)
Unique sites:
1 Rb 0.0000 0.0000 0.0000  6 Fe 2.38
2 Ca 0.5000 0.5000 0.5000  12 Fe 3.36
3 Fe 0.0000 0.0000 0.5000  2 Rb 2.38

ΔE_f = 2226 meV per atom



Computed, not measured: a geometry-optimized Mg2InRh structure at the GGA-PBEsol level of DFT.

Unit cell a=4.0699 b=4.0699 c=8.3617 alpha=90.00 beta=90.00 gamma=90.00
With the nearest neighbours (Å) after each atom.
Space group I-4m2 (No. 119)
Unique sites:
1 Mg 0.0000 0.0000 0.0000  4 Rh 2.88, 4 In 2.92, 4 Mg 2.92
2 Mg 0.0000 0.5000 0.2500  4 In 2.88, 4 Mg 2.92, 4 Rh 2.92
3 In 0.0000 0.5000 0.7500  8 Mg 2.88-2.92, 4 Rh 2.92
4 Rh 0.0000 0.0000 0.5000  8 Mg 2.88-2.92, 4 In 2.92

ΔE_f = -336 meV per atom



Computed, not measured: a geometry-optimized Cs2KInF6 structure at the GGA-PBEsol level of DFT.

Unit cell a=9.2195 b=9.2195 c=9.2195 alpha=90.00 beta=90.00 gamma=90.00
With the nearest neighbours (Å) after each atom.
Space group Fm-3m (No. 225)
Unique sites:
1 Cs 0.2500 0.2500 0.2500  12 F 3.27
2 K 0.0000 0.0000 0.0000  6 F 2.52
3 In 0.0000 0.0000 0.5000  6 F 2.09
4 F 0.0000 0.0000 0.2738  1 In 2.09

Uncorrected formation energy = -27.76 eV/f.u.



Computed, not measured: a geometry-optimized GeBiSeBr2 structure at the GGA-PBEsol level of DFT.

Unit cell a=5.0867 b=5.0867 c=5.1984 alpha=90.00 beta=90.00 gamma=90.00
With the nearest neighbours (Å) after each atom.
Space group P4/mmm (No. 123)
Unique sites:
1 Ge 0.0000 0.0000 0.0000  4 Br 2.54, 2 Se 2.60
2 Bi 0.5000 0.5000 0.5000  4 Se 3.60, 8 Br 3.64
3 Se 0.0000 0.0000 0.5000  2 Ge 2.60
4 Br 0.0000 0.5000 0.0000  2 Ge 2.54

Uncorrected formation energy = 0.10 eV/f.u.



Question: Which formula does entry 3 have?
Answer: RbCaFe3